A relaxed structure of HoCrAsO5, computed with GGA+U. Values from VASP.

Geometry as Quantum ESPRESSO input:
```
&SYSTEM
  ibrav = 0, nat = 16, ntyp = 4
/
ATOMIC_SPECIES
Ho 164.93 Ho.upf
Cr 52.00 Cr.upf
As 74.92 As.upf
O 16.00 O.upf
CELL_PARAMETERS angstrom
5.7028 -0.1987 0.0025
-1.8548 5.3964 0.0025
-1.5922 -2.1507 7.4329
ATOMIC_POSITIONS angstrom
Ho -0.7961 -1.0753 3.7164
Ho 0.0000 0.0000 0.0000
Cr 0.0851 3.1278 1.8607
Cr 2.1707 -0.0809 5.5771
As 2.9350 1.0180 1.8607
As -0.6792 2.0290 5.5771
O -1.4740 4.2821 1.8607
O 3.7297 -1.2351 5.5771
O 4.5522 1.3416 1.2788
O -2.2964 1.7054 6.1590
O 3.0975 -0.6233 2.4426
O -0.8418 3.6702 4.9953
O 2.4235 2.0166 3.1443
O -0.1677 1.0304 4.2935
O 1.8306 1.2157 0.5771
O 0.4252 1.8312 6.8607
```

Summary:
Size of the total moment (μB/atom): 0.50
Crystal system: monoclinic
Mass density (Mg/m³): 5.463
Raw total energy (Ry per atom): -0.533